Crystalline RbSnAsO6 at its relaxed geometry. Source: the Alexandria database, functional PBE.

The structure belongs to space group P312 (No. 149); the cell edges are 5.2777, 5.2777 and 6.4302 Å and the angles 90.00°, 90.00° and 120.00°. Symmetry generates all atoms from Rb at (0.0000, 0.0000, 0.0000), Sn at (0.3333, 0.6667, 0.5000), As at (0.6667, 0.3333, 0.5000) and O at (0.3946, 0.0350, 0.6672).

As for the total energy: -49.27 eV/cell. As for the energy relative to the elements, uncorrected: -9.90 eV/f.u.